Below is a relaxed Tb5PmYEr2 crystal, with properties calculated at the GGA-PBE level.

Cell lengths 5.6074, 10.3965, 10.5644 Å; angles 90.00, 90.00, 105.65 degrees
With the nearest neighbours (Å) after each atom.
Positions (direct):
Tb 0.0167 0.0334 0.0245  2 Y 3.23, 3 Er 3.39-3.57, 2 Tb 3.60
Tb 0.7198 0.4397 0.8083  1 Y 3.06, 1 Er 3.34, 2 Tb 3.40
Er 0.1137 0.2274 0.3183  9 Tb 3.34-3.66, 1 Pm 3.67
Y 0.4128 0.8255 0.4533  5 Tb 3.06-3.29
Y 0.5872 0.1745 0.9533  5 Tb 3.06-3.29
Tb 0.3001 0.6001 0.7074  3 Tb 3.40-3.58, 3 Pm 3.48-3.79, 2 Er 3.50, 1 Y 3.51
Tb 0.6999 0.3999 0.2074  3 Tb 3.40-3.58, 3 Pm 3.48-3.79, 2 Er 3.50, 1 Y 3.51
Er 0.1101 0.2201 0.7367  6 Tb 3.39-3.64, 1 Pm 3.42, 2 Y 3.65
Tb 0.2802 0.5603 0.3083  1 Y 3.06, 1 Er 3.34, 2 Tb 3.40
Tb 0.9833 0.9666 0.5245  2 Y 3.23, 3 Er 3.39-3.57, 2 Tb 3.60
Er 0.8899 0.7799 0.2367  6 Tb 3.39-3.64, 1 Pm 3.42, 2 Y 3.65
Tb 0.5218 0.0436 0.2386  2 Y 3.15-3.29, 2 Tb 3.44-3.48, 2 Er 3.46
Tb 0.6077 0.2154 0.5249  6 Tb 3.44-3.83, 4 Er 3.55-3.59, 1 Pm 3.85
Tb 0.4782 0.9564 0.7386  2 Y 3.15-3.29, 2 Tb 3.44-3.48, 2 Er 3.46
Pm 0.2003 0.4006 0.0120  2 Er 3.42-3.67, 7 Tb 3.48-3.79, 2 Y 3.66
Er 0.8863 0.7726 0.8183  9 Tb 3.34-3.66, 1 Pm 3.67
Tb 0.3923 0.7846 0.0249  6 Tb 3.44-3.83, 4 Er 3.55-3.59, 1 Pm 3.85
Pm 0.7997 0.5994 0.5120  2 Er 3.42-3.67, 7 Tb 3.48-3.79, 2 Y 3.66

Summary:
uncorrected energy	-4.67	eV/atom
space-group type	No. 36

***

Below is a relaxed K4U3S10 crystal, with properties calculated at the GGA-PBE level.

Cell lengths 5.1995, 5.1995, 18.7036 Å; angles 97.99, 97.99, 90.00 degrees
With the nearest neighbours (Å) after each atom.
Positions (direct):
S 0.1397 0.6397 0.2794  2 U 2.60
S 0.2088 0.2088 0.4176  1 U 2.45
S 0.6397 0.1397 0.2794  2 U 2.60
S 0.0000 0.5000 0.0000  2 U 2.60
K 0.7029 0.7029 0.4058  5 S 3.24-3.48
S 0.0705 0.0705 0.1409  2 U 2.58-2.63
K 0.5701 0.5701 0.1402  12 S 3.64-3.68
S 0.7912 0.7912 0.5824  1 U 2.45
U 0.8579 0.8579 0.7158  6 S 2.45-2.63
U 0.1421 0.1421 0.2842  6 S 2.45-2.63
S 0.9295 0.9295 0.8591  2 U 2.58-2.63
S 0.8603 0.3603 0.7206  2 U 2.60
S 0.5000 0.0000 0.0000  2 U 2.60
S 0.3603 0.8603 0.7206  2 U 2.60
K 0.2971 0.2971 0.5942  5 S 3.24-3.48
K 0.4299 0.4299 0.8598  12 S 3.64-3.68
U 0.0000 0.0000 0.0000  6 S 2.58-2.60

Summary:
uncorrected energy	-5.99	eV/atom
raw formation energy	-1311.5	meV per atom
space-group type	No. 139

***

Which of these has the highest uncorrected energy?
Tb5PmYEr2

***

Among the records above, which one has the lowest uncorrected energy?
K4U3S10

***

Look up the uncorrected energy of the first one.
-4.67 eV/atom

***

What is the formula in the second record?
K4U3S10